Entry from Alexandria via LeMat-Bulk: a crystal of SrTa2Rh relaxed with PBEsol (meta-GGA SCAN).

```
SrTa2Rh
1.0
4.966 -1.494 0.000
4.966 1.494 0.000
-1.314 0.000 5.886
Sr Ta Rh
1 2 1
Direct
0.000 0.000 0.000 Sr
0.533 0.533 0.519 Ta
0.799 0.799 0.387 Ta
0.238 0.238 0.716 Rh
```

Computed properties:
offset from the most stable computed form: 41 kJ/mol of formula units
SG: No. 8